## 1
A plane-wave DFT calculation with GGA-PBE was carried out for a geometry-optimized MgNi3Cl structure.

Lattice parameters (Å, degrees): 4.202 4.202 4.202 90.00 90.00 90.00
Element x y z (fractional)
1 Mg 0.000 0.000 0.000
2 Ni 0.000 0.500 0.500
3 Ni 0.500 0.000 0.500
4 Ni 0.500 0.500 0.000
5 Cl 0.500 0.500 0.500

Properties
Density, g cm⁻³: 5.28
N(E_F), states/eV/cell: 3.18

***

## 2
A plane-wave DFT calculation with GGA-PBE was carried out for a geometry-optimized MgNi3Cl structure.

Lattice parameters (Å, degrees): 4.554 4.554 4.554 90.00 90.00 90.00
Element x y z (fractional)
1 Mg 0.000 0.000 0.000
2 Ni 0.000 0.000 0.500
3 Ni 0.000 0.500 0.000
4 Ni 0.500 0.000 0.000
5 Cl 0.500 0.500 0.500

Properties
Density, g cm⁻³: 4.15
N(E_F), states/eV/cell: 8.53

***

Going by the energies, 1 is most stable and the next is 854 meV per atom up.

***

## 1
A plane-wave DFT calculation with GGA-PBE was carried out for a geometry-optimized MgNiCl6 structure.

Lattice parameters (Å, degrees): 6.423 6.423 6.423 56.59 56.59 56.59
Element x y z (fractional)
1 Mg 0.000 0.000 0.000
2 Ni 0.500 0.500 0.500
3 Cl 0.115 0.724 0.420
4 Cl 0.276 0.580 0.885
5 Cl 0.420 0.115 0.724
6 Cl 0.580 0.885 0.276
7 Cl 0.724 0.420 0.115
8 Cl 0.885 0.276 0.580

Properties
Density, g cm⁻³: 2.84

***

## 2
A plane-wave DFT calculation with GGA-PBE was carried out for a geometry-optimized MgNiCl6 structure.

Lattice parameters (Å, degrees): 6.638 6.638 6.036 99.09 99.09 125.73
Element x y z (fractional)
1 Mg 0.000 0.000 0.000
2 Ni 0.500 0.500 0.500
3 Cl 0.134 0.404 0.267
4 Cl 0.275 0.275 0.725
5 Cl 0.404 0.134 0.267
6 Cl 0.596 0.866 0.733
7 Cl 0.725 0.725 0.275
8 Cl 0.866 0.596 0.733

Properties
Density, g cm⁻³: 2.42
N(E_F), states/eV/cell: 3.29

***

Going by the energies, 2 is most stable and the next is 28 meV per atom up.

***

## 1
A plane-wave DFT calculation with GGA-PBE was carried out for a geometry-optimized MgNiCl3 structure.

Lattice parameters (Å, degrees): 4.654 4.654 4.654 90.00 90.00 90.00
Element x y z (fractional)
1 Mg 0.000 0.000 0.000
2 Ni 0.500 0.500 0.500
3 Cl 0.000 0.500 0.500
4 Cl 0.500 0.000 0.500
5 Cl 0.500 0.500 0.000

Properties
Density, g cm⁻³: 3.12
N(E_F), states/eV/cell: 1.98

***

## 2
A plane-wave DFT calculation with GGA-PBE was carried out for a geometry-optimized MgNiCl3 structure.

Lattice parameters (Å, degrees): 4.830 4.830 4.830 90.00 90.00 90.00
Element x y z (fractional)
1 Mg 0.000 0.000 0.000
2 Ni 0.500 0.500 0.500
3 Cl 0.000 0.000 0.500
4 Cl 0.000 0.500 0.000
5 Cl 0.500 0.000 0.000

Properties
Density, g cm⁻³: 2.79
N(E_F), states/eV/cell: 17.77

***

Going by the energies, 1 is most stable and the next is 42 meV per atom up.

***

## 1
A plane-wave DFT calculation with GGA-PBE was carried out for a geometry-optimized MgNiCl4 structure.

Lattice parameters (Å, degrees): 5.832 5.832 5.832 60.00 60.00 60.00
Element x y z (fractional)
1 Mg 0.000 0.000 0.000
2 Ni 0.750 0.750 0.750
3 Cl 0.375 0.375 0.375
4 Cl 0.375 0.375 0.875
5 Cl 0.375 0.875 0.375
6 Cl 0.875 0.375 0.375

Properties
Density, g cm⁻³: 2.66
N(E_F), states/eV/cell: 9.05

***

## 2
A plane-wave DFT calculation with GGA-PBE was carried out for a geometry-optimized MgNiCl4 structure.

Lattice parameters (Å, degrees): 7.180 7.180 7.180 120.82 118.51 90.60
Element x y z (fractional)
1 Mg 0.000 0.000 0.000
2 Mg 0.500 0.000 0.500
3 Ni 0.500 0.000 0.000
4 Ni 0.500 0.500 0.500
5 Cl 0.260 0.252 0.492
6 Cl 0.260 0.768 0.008
7 Cl 0.274 0.248 0.027
8 Cl 0.279 0.752 0.527
9 Cl 0.721 0.248 0.473
10 Cl 0.726 0.752 0.973
11 Cl 0.740 0.232 0.992
12 Cl 0.740 0.748 0.508

Properties
Density, g cm⁻³: 2.84

***

Going by the energies, 2 is most stable and the next is 1805 meV per atom up.

***

## 1
A plane-wave DFT calculation with GGA-PBE was carried out for a geometry-optimized Rb2MgNiCl6 structure.

Lattice parameters (Å, degrees): 6.850 6.850 6.850 116.14 116.14 96.82
Element x y z (fractional)
1 Rb 0.250 0.750 0.500
2 Rb 0.750 0.250 0.500
3 Mg 0.000 0.000 0.000
4 Ni 0.500 0.500 0.000
5 Cl 0.254 0.254 0.000
6 Cl 0.255 0.255 0.510
7 Cl 0.255 0.745 0.000
8 Cl 0.745 0.255 0.000
9 Cl 0.745 0.745 0.490
10 Cl 0.746 0.746 0.000

Properties
Density, g cm⁻³: 3.25
N(E_F), states/eV/cell: 0.00

***

## 2
A plane-wave DFT calculation with GGA-PBE was carried out for a geometry-optimized Rb2MgNiCl6 structure.

Lattice parameters (Å, degrees): 12.443 12.443 12.443 33.16 33.16 33.16
Element x y z (fractional)
1 Rb 0.125 0.125 0.125
2 Rb 0.292 0.292 0.292
3 Rb 0.708 0.708 0.708
4 Rb 0.875 0.875 0.875
5 Mg 0.413 0.413 0.413
6 Mg 0.587 0.587 0.587
7 Ni 0.000 0.000 0.000
8 Ni 0.500 0.500 0.500
9 Cl 0.145 0.615 0.615
10 Cl 0.202 0.202 0.716
11 Cl 0.202 0.716 0.202
12 Cl 0.284 0.798 0.798
13 Cl 0.385 0.385 0.855
14 Cl 0.385 0.855 0.385
15 Cl 0.615 0.145 0.615
16 Cl 0.615 0.615 0.145
17 Cl 0.716 0.202 0.202
18 Cl 0.798 0.284 0.798
19 Cl 0.798 0.798 0.284
20 Cl 0.855 0.385 0.385

Properties
Density, g cm⁻³: 3.02

***

Going by the energies, 2 is most stable and the next is 72 meV per atom up.

***

## 1
A plane-wave DFT calculation with GGA-PBE was carried out for a geometry-optimized Mg2ClO3 structure.

Lattice parameters (Å, degrees): 8.296 6.299 8.162 90.00 90.00 90.00
Element x y z (fractional)
1 Mg 0.000 0.000 0.000
2 Mg 0.000 0.500 0.000
3 Mg 0.220 0.250 0.234
4 Mg 0.280 0.750 0.734
5 Mg 0.500 0.000 0.500
6 Mg 0.500 0.500 0.500
7 Mg 0.720 0.250 0.266
8 Mg 0.780 0.750 0.766
9 Cl 0.245 0.750 0.038
10 Cl 0.255 0.250 0.538
11 Cl 0.745 0.750 0.462
12 Cl 0.755 0.250 0.962
13 O 0.037 0.639 0.719
14 O 0.037 0.861 0.719
15 O 0.134 0.250 0.014
16 O 0.366 0.750 0.514
17 O 0.463 0.139 0.219
18 O 0.463 0.361 0.219
19 O 0.537 0.639 0.781
20 O 0.537 0.861 0.781
21 O 0.634 0.250 0.486
22 O 0.866 0.750 0.986
23 O 0.963 0.139 0.281
24 O 0.963 0.361 0.281

Properties
Density, g cm⁻³: 2.06
N(E_F), states/eV/cell: 10.54

***

## 2
A plane-wave DFT calculation with GGA-PBE was carried out for a geometry-optimized Mg2ClO3 structure.

Lattice parameters (Å, degrees): 3.974 7.365 7.701 100.07 90.03 91.71
Element x y z (fractional)
1 Mg 0.245 0.407 0.112
2 Mg 0.255 0.586 0.619
3 Mg 0.745 0.414 0.381
4 Mg 0.755 0.593 0.888
5 Cl 0.402 0.124 0.461
6 Cl 0.598 0.876 0.539
7 O 0.244 0.421 0.376
8 O 0.247 0.471 0.861
9 O 0.260 0.686 0.900
10 O 0.740 0.314 0.100
11 O 0.753 0.529 0.139
12 O 0.756 0.579 0.624

Properties
Density, g cm⁻³: 1.98
N(E_F), states/eV/cell: 0.00

***

Going by the energies, 2 is most stable and the next is 154 meV per atom up.

***

## 1
A plane-wave DFT calculation with GGA-PBE was carried out for a geometry-optimized MgPCl2O structure.

Lattice parameters (Å, degrees): 4.539 4.539 4.223 90.00 90.00 90.00
Element x y z (fractional)
1 Mg 0.000 0.000 0.000
2 P 0.500 0.500 0.000
3 Cl 0.000 0.500 0.500
4 Cl 0.500 0.000 0.500
5 O 0.500 0.500 0.500

Properties
Density, g cm⁻³: 2.71
N(E_F), states/eV/cell: 3.48

***

## 2
A plane-wave DFT calculation with GGA-PBE was carried out for a geometry-optimized MgPCl2O structure.

Lattice parameters (Å, degrees): 4.604 4.604 6.708 90.00 90.00 90.00
Element x y z (fractional)
1 Mg 0.000 0.000 0.000
2 P 0.000 0.000 0.500
3 Cl 0.000 0.500 0.000
4 Cl 0.500 0.000 0.000
5 O 0.500 0.500 0.500

Properties
Density, g cm⁻³: 1.66
N(E_F), states/eV/cell: 2.01

***

Going by the energies, 1 is most stable and the next is 106 meV per atom up.

***

## 1
A plane-wave DFT calculation with GGA-PBE was carried out for a geometry-optimized Rb12MgCl4O4 structure.

Lattice parameters (Å, degrees): 7.738 10.937 8.364 90.00 90.87 90.00
Element x y z (fractional)
1 Rb 0.000 0.000 0.000
2 Rb 0.127 0.500 0.057
3 Rb 0.315 0.224 0.287
4 Rb 0.315 0.776 0.287
5 Rb 0.407 0.241 0.844
6 Rb 0.407 0.759 0.844
7 Rb 0.505 0.500 0.497
8 Rb 0.637 0.000 0.520
9 Rb 0.809 0.269 0.238
10 Rb 0.809 0.731 0.238
11 Rb 0.890 0.298 0.717
12 Rb 0.890 0.702 0.717
13 Mg 0.184 0.000 0.623
14 Cl 0.019 0.000 0.370
15 Cl 0.062 0.500 0.452
16 Cl 0.560 0.500 0.075
17 Cl 0.563 0.000 0.101
18 O 0.075 0.256 0.006
19 O 0.075 0.744 0.006
20 O 0.577 0.253 0.542
21 O 0.577 0.747 0.542

Properties
Density, g cm⁻³: 2.95

***

## 2
A plane-wave DFT calculation with GGA-PBE was carried out for a geometry-optimized Rb12MgCl4O4 structure.

Lattice parameters (Å, degrees): 7.886 7.907 12.730 77.29 84.62 89.37
Element x y z (fractional)
1 Rb 0.000 0.000 0.000
2 Rb 0.029 0.532 0.923
3 Rb 0.233 0.261 0.202
4 Rb 0.329 0.259 0.769
5 Rb 0.380 0.644 0.440
6 Rb 0.484 0.961 0.036
7 Rb 0.519 0.493 0.969
8 Rb 0.593 0.246 0.465
9 Rb 0.741 0.886 0.781
10 Rb 0.788 0.555 0.197
11 Rb 0.873 0.865 0.347
12 Rb 0.932 0.493 0.567
13 Mg 0.145 0.102 0.534
14 Cl 0.191 0.695 0.201
15 Cl 0.322 0.834 0.818
16 Cl 0.649 0.167 0.208
17 Cl 0.757 0.293 0.805
18 O 0.243 0.259 0.995
19 O 0.252 0.305 0.549
20 O 0.709 0.572 0.414
21 O 0.761 0.743 0.985

Properties
Density, g cm⁻³: 2.71

***

## 3
A plane-wave DFT calculation with GGA-PBE was carried out for a geometry-optimized Rb12MgCl4O4 structure.

Lattice parameters (Å, degrees): 7.713 8.058 12.595 75.56 86.74 89.73
Element x y z (fractional)
1 Rb 0.000 0.000 0.000
2 Rb 0.010 0.358 0.356
3 Rb 0.083 0.549 0.992
4 Rb 0.145 0.999 0.612
5 Rb 0.349 0.111 0.174
6 Rb 0.438 0.767 0.451
7 Rb 0.518 0.270 0.432
8 Rb 0.601 0.938 0.829
9 Rb 0.613 0.450 0.942
10 Rb 0.658 0.644 0.184
11 Rb 0.780 0.528 0.614
12 Rb 0.949 0.877 0.353
13 Mg 0.251 0.327 0.798
14 Cl 0.232 0.700 0.195
15 Cl 0.360 0.650 0.741
16 Cl 0.743 0.961 0.572
17 Cl 0.772 0.212 0.173
18 O 0.240 0.072 0.395
19 O 0.278 0.262 0.951
20 O 0.733 0.572 0.407
21 O 0.787 0.734 0.972

Properties
Density, g cm⁻³: 2.76

***

Going by the energies, 2 is most stable and the next is 6 meV per atom up.